Below is La4Pr5Tl4 after structural relaxation, with properties calculated at the PBE level.

magnetization	0.0	μB/f.u.
calculated volume	33.45	Å³/atom
ΔE_f	-257	meV per atom

Unit cell a=12.786 b=12.786 c=5.321 alpha=90.00 beta=90.00 gamma=90.00
Space group I4/m (No. 87)
Asymmetric unit:
La (0.094, 0.381, 0.000) x8
Pr (0.000, 0.000, 0.000) x2
Pr (0.098, 0.191, 0.500) x8
Tl (0.112, 0.771, 0.000) x8

Below is La3PrTl2 after structural relaxation, with properties calculated at the PBE level.

magnetization	0.0	μB/f.u.
calculated volume	32.69	Å³/atom
offset from the most stable computed form	0	meV/atom
ΔE_f	-302	meV per atom

Unit cell a=5.306 b=10.611 c=6.966 alpha=90.00 beta=90.00 gamma=90.00
Space group Pmc2_1 (No. 26)
Asymmetric unit:
La (0.000, 0.055, 0.000) x2
La (0.000, 0.311, 0.402) x2
La (0.500, 0.180, 0.777) x2
Pr (0.500, 0.455, 0.139) x2
Tl (0.000, 0.374, 0.875) x2
Tl (0.500, 0.135, 0.289) x2

Below is La2Pr5Tl3 after structural relaxation, with properties calculated at the PBE level.

magnetization	0.0	μB/f.u.
calculated volume	35.59	Å³/atom
ΔE_f	-68	meV per atom

Unit cell a=13.237 b=15.656 c=6.868 alpha=90.00 beta=90.00 gamma=90.00
Space group Ibam (No. 72)
Asymmetric unit:
La (0.144, 0.210, 0.000) x8
Pr (0.000, 0.000, 0.250) x4
Pr (0.078, 0.339, 0.500) x8
Pr (0.242, 0.500, 0.250) x8
Tl (0.000, 0.500, 0.250) x4
Tl (0.133, 0.146, 0.500) x8

Below is La6PrTl after structural relaxation, with properties calculated at the PBE level.

magnetization	0.0	μB/f.u.
calculated volume	34.16	Å³/atom
offset from the most stable computed form	0	meV/atom
ΔE_f	-94	meV per atom

Unit cell a=10.311 b=7.287 c=8.915 alpha=90.00 beta=125.32 gamma=90.00
Space group C2/m (No. 12)
Asymmetric unit:
La (0.134, 0.250, 0.267) x8
La (0.240, 0.000, 0.981) x4
Pr (0.000, 0.500, 0.500) x2
Tl (0.000, 0.000, 0.500) x2

Below is La4PrTl3 after structural relaxation, with properties calculated at the PBE level.

magnetization	1.9	μB/f.u.
calculated volume	32.99	Å³/atom
ΔE_f	-275	meV per atom

Unit cell a=5.6501 b=5.6501 c=28.6345 alpha=90.00 beta=90.00 gamma=120.00
Space group R-3m (No. 166, hexagonal axes)
Asymmetric unit:
La (0.0000, 0.0000, 0.1128) x6
La (0.0000, 0.0000, 0.3651) x6
Pr (0.0000, 0.0000, 0.5000) x3
Tl (0.0000, 0.0000, 0.0000) x3
Tl (0.0000, 0.0000, 0.2357) x6

Below is La4Pr5Tl after structural relaxation, with properties calculated at the PBE level.

magnetization	0.0	μB/f.u.
calculated volume	36.95	Å³/atom
offset from the most stable computed form	71	meV/atom
ΔE_f	70	meV per atom

Unit cell a=10.920 b=10.920 c=6.197 alpha=90.00 beta=90.00 gamma=90.00
Space group I4mm (No. 107)
Asymmetric unit:
La (0.000, 0.308, 0.000) x8
Pr (0.000, 0.000, 0.205) x2
Pr (0.187, 0.187, 0.491) x8
Tl (0.000, 0.000, 0.726) x2